Entry 1:
A relaxed structure of Ho3MgNi. Source: Alexandria, functional PBE.

The structure in extended XYZ format:
```
10
Lattice="3.7389 -0.0006 -0.0007 0.0011 8.9351 0.0907 0.0024 3.1914 8.3482" Properties=species:S:1:pos:R:3 pbc="T T T"
Ho 3.2310 5.9058 6.9369
Ho 3.2303 2.3273 5.5596
Ho 3.2286 5.7210 0.6807
Ho 1.3584 9.0721 0.5072
Ho 3.2296 8.2560 3.5584
Ho 1.3588 4.9038 3.7336
Mg 1.3621 8.5845 6.2927
Mg 3.2269 2.5207 2.0727
Ni 1.3585 6.9882 2.1210
Ni 1.3602 4.1167 6.2498
```

Output
The calculation puts the total moment at 0.00 μB per cell. Its space group is No. 65. For the density of states at the Fermi level, the calculation gives 5.676 states/eV/f.u. For the formation energy, the calculation gives -0.0723 eV/atom. The energy above the most stable polymorph in this dataset is 9.2 kJ per mole of atoms.

Entry 2:
A relaxed structure of NdAs4Pd12. Source: Alexandria, functional PBE.

The structure in extended XYZ format:
```
17
Lattice="7.4384 0.0000 0.0000 -2.4795 7.0130 0.0000 -2.4795 -3.5065 6.0734" Properties=species:S:1:pos:R:3 pbc="T T T"
Nd 0.0000 0.0000 0.0000
As -1.2397 3.5065 0.0000
As 3.7192 0.0000 0.0000
As 1.2397 1.7532 3.0367
As -1.2397 -1.7532 3.0367
Pd 4.9316 1.7726 1.0843
Pd 0.8854 2.9719 0.9929
Pd 4.0736 -1.1606 3.9961
Pd 0.0274 -1.6811 5.0805
Pd -1.5941 4.6671 2.0773
Pd 1.5941 0.5346 5.0805
Pd 2.5068 -0.0528 2.0773
Pd -0.0274 3.5593 3.9961
Pd 2.4521 5.1876 0.9929
Pd 3.3648 2.8804 3.0032
Pd -0.8854 0.6260 3.0702
Pd -2.4521 1.7339 4.9891
```

Output
The calculation puts the total moment at 0.00 μB per cell. Its space group is No. 204. For the density of states at the Fermi level, the calculation gives 3.510 states/eV/f.u. For the formation energy, the calculation gives -0.2822 eV/atom.